Entry 1:
RbNa2TeRu, optimized geometry, DFT PBE; M_tot = 0.678 μB per cell; symmetry = No. 123; DFT total energy = -14.8 eV per cell
1.0
5.9120 0.0000 0.0000
0.0000 5.9120 0.0000
0.0000 0.0000 5.0065
Rb Na Te Ru
1 2 1 1
Cartesian
0.0000 0.0000 0.0000
0.0000 2.9560 2.5033
2.9560 0.0000 2.5033
2.9560 2.9560 2.5033
2.9560 2.9560 0.0000

=====

Entry 2:
RbNa2S, optimized geometry, DFT PBE; M_tot = 0.000 μB per cell; symmetry = No. 160; DFT total energy = -31.1 eV per cell
1.0
4.6322 0.0000 0.0000
-2.3161 4.0116 0.0000
0.0000 0.0000 25.2778
Rb Na S
3 6 3
Cartesian
0.0000 0.0000 0.0000
0.0000 2.6744 16.8519
2.3161 1.3372 8.4259
0.0000 0.0000 13.0943
0.0000 0.0000 19.7594
0.0000 2.6744 4.6683
0.0000 2.6744 11.3335
2.3161 1.3372 2.9076
2.3161 1.3372 21.5202
0.0000 0.0000 3.5841
0.0000 2.6744 20.4360
2.3161 1.3372 12.0101

=====

Entry 3:
RbNaS3, optimized geometry, DFT PBE; M_tot = 4.000 μB per cell; distance to the lowest polymorph of the same formula = 489 meV/atom; symmetry = No. 221
1.0
5.9697 0.0000 0.0000
0.0000 5.9697 0.0000
0.0000 0.0000 5.9697
Rb Na S
1 1 3
Cartesian
0.0000 0.0000 0.0000
2.9848 2.9848 2.9848
0.0000 0.0000 2.9848
0.0000 2.9848 0.0000
2.9848 0.0000 0.0000